Record 1
# NaAlCrSn2, optimized geometry, DFT PBE
# Uncorrected energy ... -3.284 eV/atom
# D(E_F) ... 7.52 states/eV/f.u.
# ΔH_f (0 K) ... 6.27 eV/f.u.
data_NaAlCrSn2
_cell_length_a 5.2233
_cell_length_b 5.2233
_cell_length_c 5.0992
_cell_angle_alpha 90.00
_cell_angle_beta 90.00
_cell_angle_gamma 90.00
_symmetry_space_group_name_H-M 'P 4/m m m'
_symmetry_Int_Tables_number 123
_symmetry_space_group_name_Hall '-P 4 2'
loop_
_atom_site_label
_atom_site_fract_x
_atom_site_fract_y
_atom_site_fract_z
Na1 0.0000 0.0000 0.0000
Al1 0.0000 0.0000 0.5000
Cr1 0.5000 0.5000 0.0000
Sn1 0.0000 0.5000 0.5000

Record 2
# Na2AlCrTe4, optimized geometry, DFT PBE
# Uncorrected energy ... -4.096 eV/atom
# D(E_F) ... 0.54 states/eV/f.u.
# Formation energy without anion corrections ... -0.525 eV per atom
data_Na2AlCrTe4
_cell_length_a 8.3727
_cell_length_b 8.5136
_cell_length_c 11.9393
_cell_angle_alpha 90.00
_cell_angle_beta 90.00
_cell_angle_gamma 90.00
_symmetry_space_group_name_H-M 'I m m a'
_symmetry_Int_Tables_number 74
_symmetry_space_group_name_Hall '-I 2b 2'
loop_
_atom_site_label
_atom_site_fract_x
_atom_site_fract_y
_atom_site_fract_z
Na1 0.0000 0.0000 0.0000
Na2 0.2500 0.2500 0.2500
Al1 0.2500 0.2500 0.7500
Cr1 0.0000 0.0000 0.5000
Te1 0.0000 0.0242 0.7353
Te2 0.2196 0.2500 0.5126

Record 3
# NbAl2Cr, optimized geometry, DFT PBE
# Uncorrected energy ... -6.782 eV/atom
# D(E_F) ... 2.06 states/eV/f.u.
# ΔH_f (0 K) ... 0.05 eV/f.u.
# Excess energy over the best structure of this formula in the dataset ... 0.179 eV per atom
data_NbAl2Cr
_cell_length_a 6.3122
_cell_length_b 6.3122
_cell_length_c 6.3122
_cell_angle_alpha 90.00
_cell_angle_beta 90.00
_cell_angle_gamma 90.00
_symmetry_space_group_name_H-M 'F m -3 m'
_symmetry_Int_Tables_number 225
_symmetry_space_group_name_Hall '-F 4 2 3'
loop_
_atom_site_label
_atom_site_fract_x
_atom_site_fract_y
_atom_site_fract_z
Nb1 0.0000 0.0000 0.0000
Al1 0.2500 0.2500 0.2500
Cr1 0.0000 0.0000 0.5000

Record 4
# NbAlCr, optimized geometry, DFT PBE
# Uncorrected energy ... -7.903 eV/atom
# D(E_F) ... 1.76 states/eV/f.u.
# ΔH_f (0 K) ... -0.27 eV/f.u.
# Excess energy over the best structure of this formula in the dataset ... 0.116 eV per atom
data_NbAlCr
_cell_length_a 3.2222
_cell_length_b 3.2222
_cell_length_c 8.8167
_cell_angle_alpha 90.00
_cell_angle_beta 90.00
_cell_angle_gamma 90.00
_symmetry_space_group_name_H-M 'I 4 m m'
_symmetry_Int_Tables_number 107
_symmetry_space_group_name_Hall 'I 4 -2'
loop_
_atom_site_label
_atom_site_fract_x
_atom_site_fract_y
_atom_site_fract_z
Nb1 0.0000 0.0000 0.0000
Al1 0.0000 0.0000 0.6890
Cr1 0.0000 0.0000 0.3533

Record 5
# Nb3AlCr, optimized geometry, DFT PBE
# Uncorrected energy ... -7.974 eV/atom
# D(E_F) ... 4.07 states/eV/f.u.
# ΔH_f (0 K) ... 3.70 eV/f.u.
# Excess energy over the best structure of this formula in the dataset ... 0.000 eV per atom
data_Nb3AlCr
_cell_length_a 4.6070
_cell_length_b 4.6070
_cell_length_c 4.6070
_cell_angle_alpha 90.00
_cell_angle_beta 90.00
_cell_angle_gamma 90.00
_symmetry_space_group_name_H-M 'P m -3 m'
_symmetry_Int_Tables_number 221
_symmetry_space_group_name_Hall '-P 4 2 3'
loop_
_atom_site_label
_atom_site_fract_x
_atom_site_fract_y
_atom_site_fract_z
Nb1 0.0000 0.0000 0.5000
Al1 0.5000 0.5000 0.5000
Cr1 0.0000 0.0000 0.0000

Record 6
# NbAlCr2, optimized geometry, DFT PBE
# Uncorrected energy ... -7.531 eV/atom
# D(E_F) ... 4.93 states/eV/f.u.
# ΔH_f (0 K) ... 2.94 eV/f.u.
data_NbAlCr2
_cell_length_a 6.8155
_cell_length_b 6.8155
_cell_length_c 5.2613
_cell_angle_alpha 90.00
_cell_angle_beta 90.00
_cell_angle_gamma 90.00
_symmetry_space_group_name_H-M 'I -4 2 d'
_symmetry_Int_Tables_number 122
_symmetry_space_group_name_Hall 'I -4 2bw'
loop_
_atom_site_label
_atom_site_fract_x
_atom_site_fract_y
_atom_site_fract_z
Nb1 0.0000 0.0000 0.0000
Al1 0.0000 0.0000 0.5000
Cr1 0.2494 0.2500 0.6250

Record 7
# Nb3AlCr, optimized geometry, DFT PBE
# Uncorrected energy ... -7.143 eV/atom
# D(E_F) ... 10.21 states/eV/f.u.
# ΔH_f (0 K) ... 7.86 eV/f.u.
# Excess energy over the best structure of this formula in the dataset ... 0.831 eV per atom
data_Nb3AlCr
_cell_length_a 4.6632
_cell_length_b 4.6632
_cell_length_c 4.6632
_cell_angle_alpha 90.00
_cell_angle_beta 90.00
_cell_angle_gamma 90.00
_symmetry_space_group_name_H-M 'P m -3 m'
_symmetry_Int_Tables_number 221
_symmetry_space_group_name_Hall '-P 4 2 3'
loop_
_atom_site_label
_atom_site_fract_x
_atom_site_fract_y
_atom_site_fract_z
Nb1 0.0000 0.0000 0.5000
Al1 0.0000 0.0000 0.0000
Cr1 0.5000 0.5000 0.5000

Record 8
# NbAl2Cr2, optimized geometry, DFT PBE
# Uncorrected energy ... -7.305 eV/atom
# D(E_F) ... 6.57 states/eV/f.u.
# ΔH_f (0 K) ... 0.27 eV/f.u.
# Excess energy over the best structure of this formula in the dataset ... 0.000 eV per atom
data_NbAl2Cr2
_cell_length_a 7.1626
_cell_length_b 7.1626
_cell_length_c 2.9003
_cell_angle_alpha 90.00
_cell_angle_beta 90.00
_cell_angle_gamma 90.00
_symmetry_space_group_name_H-M 'P 4/m b m'
_symmetry_Int_Tables_number 127
_symmetry_space_group_name_Hall '-P 4 2ab'
loop_
_atom_site_label
_atom_site_fract_x
_atom_site_fract_y
_atom_site_fract_z
Nb1 0.0000 0.0000 0.0000
Al1 0.1264 0.3736 0.0000
Cr1 0.1715 0.6715 0.5000